BAsS | PBE | optimized geometry Values from VASP.

Formation energy without anion corrections   0.1209 eV/atom
Size of the total moment   0.00 μB per formula unit
Calculated density   2.6 g cm⁻³
Total DFT energy (no corrections)   -60.37 eV per cell
Space group   P2_12_12_1, No. 19

```
&SYSTEM
  ibrav = 0, nat = 12, ntyp = 3
/
ATOMIC_SPECIES
As 74.92 As.upf
S 32.06 S.upf
B 10.81 B.upf
CELL_PARAMETERS angstrom
-4.3374 2.1194 -0.0315
-1.9437 -4.0068 -1.9389
-2.3269 -4.5867 11.8114
ATOMIC_POSITIONS crystal
As 0.3248 0.3652 0.6981
As 0.1752 0.6348 0.1981
As 0.6752 0.8652 0.8019
As 0.8248 0.1348 0.3019
S 0.3765 0.0033 0.5819
S 0.1235 0.9967 0.0819
S 0.6235 0.5033 0.9181
S 0.8765 0.4967 0.4181
B 0.4618 0.7492 0.6753
B 0.0382 0.2508 0.1753
B 0.5382 0.2492 0.8247
B 0.9618 0.7508 0.3247
```